Below is a geometry-optimized RbNb3O8 structure, with properties calculated at the GGA-PBE level.

Cell and atoms, written as POSCAR:
```
RbNb3O8
1.0
5.952 0.000 0.000
-2.976 5.154 0.000
0.000 0.000 7.734
Rb Nb O
1 3 8
direct
0.000 0.000 0.000 Rb
0.000 0.000 0.500 Nb
0.333 0.667 0.729 Nb
0.667 0.333 0.271 Nb
0.155 0.314 0.653 O
0.159 0.845 0.653 O
0.314 0.159 0.347 O
0.333 0.667 0.959 O
0.667 0.333 0.041 O
0.686 0.841 0.653 O
0.841 0.155 0.347 O
0.845 0.686 0.347 O
```

symmetry: P-3 (147)
offset from the most stable computed form: 0 meV per atom
uncorrected formation energy: -2468 meV per atom
density of states at the Fermi level: 0.0 states/eV/f.u.